# Mn2BrO (GGA+U, optimized geometry)
data_Mn2BrO
_chemical_formula_sum 'Mn2 Br1 O1'
_cell_length_a 4.462
_cell_length_b 4.462
_cell_length_c 4.462
_cell_angle_alpha 60.00
_cell_angle_beta 60.00
_cell_angle_gamma 60.00
_symmetry_space_group_name_H-M 'P 1'
_symmetry_Int_Tables_number 1
loop_
_symmetry_equiv_pos_as_xyz
'x,y,z'
loop_
_atom_site_label
_atom_site_type_symbol
_atom_site_fract_x
_atom_site_fract_y
_atom_site_fract_z
Mn1 Mn 0.250 0.250 0.250
Mn2 Mn 0.750 0.750 0.750
O1 O 0.000 0.000 0.000
Br1 Br 0.500 0.500 0.500
# E_tot	-5.42	eV per atom
# relative energy among the computed polymorphs	858	meV/atom
# volume	15.71	A^3/atom
# SG	No. 225